The following is a PBE calculation of a geometry-optimized ZrIn2HgCl6 structure, from Alexandria via LeMat-Bulk.

Geometry as CIF:
```
data_ZrIn2HgCl6
_space_group_name_H-M_alt 'P 1'
_space_group_IT_number 1
_cell_length_a 7.211
_cell_length_b 7.683
_cell_length_c 8.391
_cell_angle_alpha 66.27
_cell_angle_beta 64.90
_cell_angle_gamma 65.63
loop_
_space_group_symop_operation_xyz
'x,y,z'
loop_
_atom_site_label
_atom_site_fract_x
_atom_site_fract_y
_atom_site_fract_z
Zr1 0.000 0.000 0.000
In1 0.340 0.359 0.975
In2 0.783 0.806 0.542
Hg1 0.529 0.523 0.499
Cl1 0.029 0.825 0.798
Cl2 0.136 0.667 0.212
Cl3 0.369 0.030 0.828
Cl4 0.625 0.988 0.189
Cl5 0.851 0.334 0.815
Cl6 0.983 0.148 0.228
```

Summary:
- calculated volume (Å³/f.u.) = 369
- formation energy without anion corrections (eV/atom) = -1.2388
- raw total energy (eV/atom) = -3.780
- calculated density (g/cm3) = 3.307